[1]
# FeCoHg PBE relaxed
data_FeCoHg
_space_group_name_H-M_alt 'I 4 m m'
_space_group_IT_number 107
_space_group_name_Hall 'I 4 -2'
_cell_length_a 3.031
_cell_length_b 3.031
_cell_length_c 9.626
_cell_angle_alpha 90.00
_cell_angle_beta 90.00
_cell_angle_gamma 90.00
loop_
_atom_site_label
_atom_site_type_symbol
_atom_site_fract_x
_atom_site_fract_y
_atom_site_fract_z
Fe1 Fe 0.000 0.000 0.000
Co1 Co 0.000 0.000 0.617
Hg1 Hg 0.000 0.000 0.306
# Crystal system   tetragonal
# ΔH_f (0 K)   0.28 eV per atom
# D(E_F)   0.889 states/eV/atom

=====

[2]
# Tb3TlSb PBE relaxed
data_Tb3TlSb
_space_group_name_H-M_alt 'P 1 m 1'
_space_group_IT_number 6
_cell_length_a 8.497
_cell_length_b 4.052
_cell_length_c 8.559
_cell_angle_alpha 90.00
_cell_angle_beta 98.40
_cell_angle_gamma 90.00
loop_
_space_group_symop_operation_xyz
'x,y,z'
'x,-y,z'
loop_
_atom_site_label
_atom_site_type_symbol
_atom_site_fract_x
_atom_site_fract_y
_atom_site_fract_z
Tb1 Tb 0.000 0.000 0.000
Tb2 Tb 0.044 0.500 0.343
Tb3 Tb 0.363 0.500 0.964
Tb4 Tb 0.415 0.500 0.531
Tb5 Tb 0.680 0.000 0.354
Tb6 Tb 0.849 0.500 0.690
Tl1 Tl 0.143 0.000 0.670
Tl2 Tl 0.736 0.500 0.086
Sb1 Sb 0.310 0.000 0.242
Sb2 Sb 0.602 0.000 0.783
# Crystal system   monoclinic
# E_tot   -4.56 eV/atom
# D(E_F)   0.933 states/eV/atom

=====

[3]
# Sm5Sb2I2 PBE relaxed
data_Sm5Sb2I2
_space_group_name_H-M_alt 'C 1 2/m 1'
_space_group_IT_number 12
_cell_length_a 16.527
_cell_length_b 4.416
_cell_length_c 11.649
_cell_angle_alpha 90.00
_cell_angle_beta 132.09
_cell_angle_gamma 90.00
loop_
_space_group_symop_operation_xyz
'x,y,z'
'-x,-y,-z'
'-x,y,-z'
'x,-y,z'
'x+1/2,y+1/2,z'
'-x+1/2,-y+1/2,-z'
'-x+1/2,y+1/2,-z'
'x+1/2,-y+1/2,z'
loop_
_atom_site_label
_atom_site_type_symbol
_atom_site_fract_x
_atom_site_fract_y
_atom_site_fract_z
Sm1 Sm 0.000 0.000 0.000
Sm2 Sm 0.129 0.000 0.444
Sm3 Sm 0.140 0.500 0.947
Sb1 Sb 0.121 0.500 0.256
I1 I 0.120 0.000 0.720
# Crystal system   monoclinic
# E_tot   -4.64 eV/atom
# D(E_F)   0.753 states/eV/atom

=====

[4]
# MoAsBr2 PBE relaxed
data_MoAsBr2
_space_group_name_H-M_alt 'A m m 2'
_space_group_IT_number 38
_cell_length_a 3.594
_cell_length_b 5.122
_cell_length_c 11.503
_cell_angle_alpha 90.00
_cell_angle_beta 90.00
_cell_angle_gamma 90.00
loop_
_space_group_symop_operation_xyz
'x,y,z'
'-x,-y,z'
'-x,y,z'
'x,-y,z'
'x,y+1/2,z+1/2'
'-x,-y+1/2,z+1/2'
'-x,y+1/2,z+1/2'
'x,-y+1/2,z+1/2'
loop_
_atom_site_label
_atom_site_type_symbol
_atom_site_fract_x
_atom_site_fract_y
_atom_site_fract_z
Mo1 Mo 0.000 0.000 0.000
As1 As 0.500 0.000 0.137
Br1 Br 0.000 0.000 0.468
Br2 Br 0.500 0.000 0.819
# Crystal system   orthorhombic
# E_tot   -4.73 eV/atom
# D(E_F)   0.467 states/eV/atom